Record 1
## Cs2ZnGa2 (PBE-GGA)

Data for Cs2ZnGa2 after structural relaxation. Values from VASP.

```
&SYSTEM
  ibrav = 0, nat = 10, ntyp = 3
/
ATOMIC_SPECIES
Zn 65.41 Zn.upf
Cs 132.91 Cs.upf
Ga 69.72 Ga.upf
CELL_PARAMETERS angstrom
10.547 0.000 0.000
0.000 10.547 0.000
0.000 0.000 4.101
ATOMIC_POSITIONS crystal
Zn 0.500 0.500 0.000
Cs 0.705 0.795 0.500
Zn 0.000 0.000 0.000
Ga 0.082 0.418 0.000
Cs 0.205 0.705 0.500
Ga 0.418 0.918 0.000
Ga 0.582 0.082 0.000
Cs 0.795 0.295 0.500
Ga 0.918 0.582 0.000
Cs 0.295 0.205 0.500
```

Results
The space group is P4/mbm, No. 127. The calculation puts the energy relative to the elements at 289 meV/atom.

Record 2
## Dy5Mg2 (PBE-GGA)

Data for Dy5Mg2 after structural relaxation. Values from VASP.

```
&SYSTEM
  ibrav = 0, nat = 7, ntyp = 2
/
ATOMIC_SPECIES
Dy 162.50 Dy.upf
Mg 24.30 Mg.upf
CELL_PARAMETERS angstrom
-1.010 -2.731 -1.934
1.968 1.149 -2.650
12.495 -8.100 8.072
ATOMIC_POSITIONS crystal
Dy 0.000 0.000 0.000
Dy 0.424 0.424 0.848
Dy 0.849 0.849 0.698
Mg 0.721 0.721 0.442
Dy 0.151 0.151 0.302
Dy 0.576 0.576 0.152
Mg 0.279 0.279 0.558
```

Results
The space group is I4/mmm, No. 139. The calculation puts the energy relative to the elements at -18 meV/atom.

Record 3
## Na2PrSmS4 (PBE-GGA)

Data for Na2PrSmS4 after structural relaxation. Values from VASP.

```
&SYSTEM
  ibrav = 0, nat = 8, ntyp = 4
/
ATOMIC_SPECIES
S 32.06 S.upf
Na 22.99 Na.upf
Sm 150.36 Sm.upf
Pr 140.91 Pr.upf
CELL_PARAMETERS angstrom
-0.449 0.053 4.096
-4.683 -5.371 -0.443
6.565 -2.622 0.754
ATOMIC_POSITIONS crystal
S 0.000 0.740 0.232
Na 0.500 0.000 0.500
Sm 0.500 0.500 0.000
S 0.500 0.249 0.234
S 0.500 0.751 0.766
Na 0.000 0.500 0.500
Pr 0.000 0.000 0.000
S 0.000 0.260 0.768
```

Results
For the uncorrected formation energy, the calculation gives -1.797 eV per atom. The space group is P2/m, No. 10.

Record 4
## AcTbPmDy3 (PBE-GGA)

Data for AcTbPmDy3 after structural relaxation. Values from VASP.

```
&SYSTEM
  ibrav = 0, nat = 12, ntyp = 4
/
ATOMIC_SPECIES
Pm 145.00 Pm.upf
Dy 162.50 Dy.upf
Tb 158.93 Tb.upf
Ac 227.00 Ac.upf
CELL_PARAMETERS angstrom
5.685 0.000 0.000
-2.842 10.083 1.756
0.000 -1.186 7.157
ATOMIC_POSITIONS crystal
Pm 0.943 0.885 0.704
Pm 0.057 0.115 0.296
Dy 0.781 0.561 0.757
Tb 0.653 0.306 0.468
Dy 0.521 0.042 0.719
Ac 0.642 0.284 0.026
Dy 0.219 0.439 0.243
Ac 0.358 0.716 0.974
Dy 0.831 0.661 0.278
Dy 0.169 0.339 0.722
Dy 0.479 0.958 0.281
Tb 0.347 0.694 0.532
```

Results
The space group is C2/m, No. 12. The calculation puts the energy relative to the elements at 229 meV/atom.